one.
Here is an optimized crystal structure of U2TlS4 from Alexandria via LeMat-Bulk. Energies are from PBE.

The structure in POSCAR format:
```
U2TlS4
1.0
6.897 0.000 0.000
0.000 4.005 0.000
-0.066 0.000 7.765
U Tl S
2 1 4
Direct
0.000 0.000 0.000
0.500 0.500 0.000
0.000 0.000 0.500
0.167 0.500 0.190
0.331 0.000 0.814
0.669 0.000 0.186
0.833 0.500 0.810
```



two.
Here is an optimized crystal structure of U2TlS4 from Alexandria via LeMat-Bulk. Energies are from PBE.

The structure in POSCAR format:
```
U2TlS4
1.0
2.005 -6.674 0.000
2.005 6.674 0.000
0.000 0.000 13.639
U Tl S
4 2 8
Direct
0.134 0.866 0.564
0.134 0.866 0.936
0.866 0.134 0.064
0.866 0.134 0.436
0.400 0.600 0.750
0.600 0.400 0.250
0.074 0.926 0.750
0.239 0.761 0.106
0.239 0.761 0.394
0.500 0.500 0.000
0.500 0.500 0.500
0.761 0.239 0.606
0.761 0.239 0.894
0.926 0.074 0.250
```



Which of them is the most stable? Correct choice: one.



one.
Here is an optimized crystal structure of Tl2V2S from Alexandria via LeMat-Bulk. Energies are from PBE.

The structure in POSCAR format:
```
Tl2V2S
1.0
3.438 0.000 0.000
0.000 3.438 0.000
0.000 0.000 17.126
Tl V S
4 4 2
Direct
0.000 0.000 0.103
0.000 0.000 0.897
0.500 0.500 0.397
0.500 0.500 0.603
0.000 0.500 0.250
0.000 0.500 0.750
0.500 0.000 0.250
0.500 0.000 0.750
0.000 0.000 0.500
0.500 0.500 0.000
```



two.
Here is an optimized crystal structure of Tl2V2S from Alexandria via LeMat-Bulk. Energies are from PBE.

The structure in POSCAR format:
```
Tl2V2S
1.0
8.238 0.000 0.000
0.000 8.238 0.000
0.000 0.000 3.169
Tl V S
4 4 2
Direct
0.211 0.289 0.000
0.289 0.789 0.000
0.711 0.211 0.000
0.789 0.711 0.000
0.080 0.580 0.500
0.420 0.080 0.500
0.580 0.920 0.500
0.920 0.420 0.500
0.000 0.000 0.000
0.500 0.500 0.000
```



Which of them is the most stable? Correct choice: one.